# 1
## Ho2CuAg3 (PBE)

Data for Ho2CuAg3 after structural relaxation.

Energy of formation ... -0.29 eV per atom
Space group ... P4mm

Cell and atoms, written as POSCAR:
```
Ho2CuAg3
1.0
3.673 0.000 0.000
0.000 3.673 0.000
0.000 0.000 9.133
Ho Cu Ag
2 1 3
direct
0.000 0.000 0.000
0.500 0.500 0.485
0.000 0.000 0.328
0.000 0.000 0.659
0.500 0.500 0.169
0.500 0.500 0.823
```

---

# 2
## Ho2Cu3Ag (PBE)

Data for Ho2Cu3Ag after structural relaxation.

Energy of formation ... -0.21 eV per atom
Space group ... P4mm

Cell and atoms, written as POSCAR:
```
Ho2Cu3Ag
1.0
3.537 0.000 0.000
0.000 3.537 0.000
0.000 0.000 8.828
Ho Cu Ag
2 3 1
direct
0.000 0.000 0.000
0.500 0.500 0.481
0.000 0.000 0.315
0.500 0.500 0.164
0.500 0.500 0.829
0.000 0.000 0.670
```

---

# 3
## HoCuAg (PBE)

Data for HoCuAg after structural relaxation.

Energy of formation ... -0.11 eV per atom
Relative energy among the computed polymorphs ... 0 meV per atom
Space group ... F-43m

Cell and atoms, written as POSCAR:
```
HoCuAg
1.0
6.392 0.000 0.000
0.000 6.392 0.000
0.000 0.000 6.392
Ho Cu Ag
4 4 4
direct
0.000 0.000 0.000
0.000 0.500 0.500
0.500 0.000 0.500
0.500 0.500 0.000
0.250 0.250 0.750
0.250 0.750 0.250
0.750 0.250 0.250
0.750 0.750 0.750
0.000 0.000 0.500
0.000 0.500 0.000
0.500 0.000 0.000
0.500 0.500 0.500
```

---

For the records above, the corresponding E values read -23.06; -24.41; -11.43 eV/f.u..